Here is a geometry-optimized KAsOs2 structure from the Alexandria database. Energies are from GGA-PBE.

a = 3.0387 Å, b = 3.0387 Å, c = 8.4861 Å
α = 90.00°, β = 90.00°, γ = 90.00°
With the nearest neighbours (Å) after each atom.
Fractional positions:
1 K 0.0000 0.0000 0.0000  4 K 3.04
2 As 0.0000 0.0000 0.5000  8 Os 2.56
3 Os 0.5000 0.5000 0.3370  4 As 2.56, 1 Os 2.77
4 Os 0.5000 0.5000 0.6630  4 As 2.56, 1 Os 2.77

Summary:
formation enthalpy at 0 K: 387 kJ/mol of formula units
volume: 19.589 Å³ per atom
total energy: -6.05 eV per atom